1.
meta-GGA SCAN ZrB2O5, PBEsol geometry; raw formation energy = -3073 meV/atom
1.0
4.399 0.000 0.000
0.000 6.930 0.000
-0.137 0.000 8.985
Zr B O
4 8 20
Direct
0.001 0.112 0.171
0.001 0.388 0.671
0.999 0.612 0.329
0.999 0.888 0.829
0.464 0.087 0.666
0.464 0.413 0.166
0.473 0.729 0.577
0.473 0.771 0.077
0.527 0.229 0.923
0.527 0.271 0.423
0.536 0.587 0.834
0.536 0.913 0.334
0.213 0.591 0.820
0.213 0.909 0.320
0.232 0.597 0.532
0.232 0.903 0.032
0.305 0.155 0.808
0.305 0.345 0.308
0.330 0.605 0.150
0.330 0.895 0.650
0.348 0.222 0.554
0.348 0.278 0.054
0.652 0.722 0.946
0.652 0.778 0.446
0.670 0.105 0.350
0.670 0.395 0.850
0.695 0.655 0.692
0.695 0.845 0.192
0.768 0.097 0.968
0.768 0.403 0.468
0.787 0.091 0.680
0.787 0.409 0.180

***

2.
meta-GGA SCAN AlMoP, PBEsol geometry; final energy = -109.3 eV per cell
1.0
3.162 0.000 0.000
0.000 3.162 0.000
0.000 0.000 8.203
Al Mo P
2 2 2
Direct
0.000 0.000 0.000
0.500 0.500 0.500
0.000 0.000 0.684
0.500 0.500 0.184
0.000 0.000 0.322
0.500 0.500 0.822

***

3.
meta-GGA SCAN ZrCuW2, PBEsol geometry; excess energy over the best structure of this formula in the dataset = 222 meV per atom
1.0
2.679 0.000 0.000
0.000 4.024 0.000
0.000 0.000 6.008
Zr Cu W
1 1 2
Direct
0.000 0.000 0.000
0.500 0.500 0.254
0.000 0.000 0.484
0.500 0.500 0.713

***

4.
meta-GGA SCAN Y2HgOs, PBEsol geometry; final energy = -393.4 eV per cell
1.0
7.342 0.000 0.000
0.000 3.415 0.000
-1.373 0.000 7.704
Y Hg Os
4 2 2
Direct
0.245 0.000 0.208
0.255 0.500 0.792
0.745 0.500 0.208
0.755 0.000 0.792
0.000 0.000 0.500
0.500 0.500 0.500
0.000 0.500 0.000
0.500 0.000 0.000

***

5.
meta-GGA SCAN ZnSiAg2, PBEsol geometry; excess energy over the best structure of this formula in the dataset = 0 meV per atom; raw formation energy = 208 meV/atom
1.0
8.773 0.000 0.000
0.000 2.994 0.000
-0.762 0.000 4.747
Zn Si Ag
2 2 4
Direct
0.000 0.000 0.000
0.500 0.500 0.000
0.000 0.500 0.500
0.500 0.000 0.500
0.250 0.000 0.749
0.250 0.500 0.251
0.750 0.000 0.251
0.750 0.500 0.749

***

6.
meta-GGA SCAN RbHgS2, PBEsol geometry; raw formation energy = -479 meV/atom
1.0
7.642 0.000 0.000
0.000 7.642 0.000
0.000 0.000 7.491
Rb Hg S
4 4 8
Direct
0.000 0.000 0.000
0.000 0.500 0.250
0.500 0.000 0.750
0.500 0.500 0.500
0.000 0.000 0.500
0.000 0.500 0.750
0.500 0.000 0.250
0.500 0.500 0.000
0.165 0.250 0.625
0.250 0.665 0.875
0.250 0.835 0.375
0.335 0.250 0.125
0.665 0.750 0.125
0.750 0.165 0.375
0.750 0.335 0.875
0.835 0.750 0.625